No. 1
First-principles (PBE) data for PmYHo2 after structural relaxation, as listed in the Alexandria database.

Calculated values
Relative energy among the computed polymorphs ... 0.48 eV/f.u.
ΔH_f (0 K) ... 0.133 eV/atom
D(E_F) ... 13.48 states/eV/cell

abc: 3.5545 6.7860 11.4571
angles: 93.79 90.00 105.18
Atoms (fractional coordinates):
Pm 0.1328 0.2656 0.0202
Pm 0.8672 0.7344 0.9798
Y 0.6325 0.2649 0.4997
Y 0.3675 0.7351 0.5003
Ho 0.7684 0.5368 0.2551
Ho 0.4913 0.9827 0.2262
Ho 0.5087 0.0173 0.7738
Ho 0.2316 0.4632 0.7449

---

No. 2
First-principles (PBE) data for PmY2Ho after structural relaxation, as listed in the Alexandria database.

Calculated values
Relative energy among the computed polymorphs ... 0.05 eV/f.u.
ΔH_f (0 K) ... 0.023 eV/atom
D(E_F) ... 5.94 states/eV/cell

abc: 5.0672 5.0588 5.0588
angles: 90.00 90.00 90.00
Atoms (fractional coordinates):
Y 0.0000 0.0000 0.5000
Y 0.0000 0.5000 0.0000
Ho 0.5000 0.5000 0.5000
Pm 0.5000 0.0000 0.0000

---

- The lowest relative energy among the computed polymorphs belongs to which entry?
  PmY2Ho